1.
A relaxed structure of Y4FeAs, computed with GGA-PBE.

Results
- Space-group type: F-43m (216)
- Formation energy: 0.66 eV per atom
- Size of the total moment: 2.61 μB/cell
- Fermi-level density of states: 1.497 states/eV/atom

Unit cell a=6.1497 b=6.1497 c=6.1497 alpha=60.00 beta=60.00 gamma=60.00
Last column: nearest neighbours and their distance in Å.
Atoms (fractional coordinates):
Y: 0.1253 0.1253 0.1253  6 Y 3.07-3.08
Y: 0.1253 0.1253 0.6241  6 Y 3.07-3.08
Y: 0.1253 0.6241 0.1253  6 Y 3.07-3.08
Y: 0.6241 0.1253 0.1253  6 Y 3.07-3.08
Fe: 0.5000 0.5000 0.5000  12 Y 3.60, 4 As 3.77
As: 0.7500 0.7500 0.7500  12 Y 3.61, 4 Fe 3.77

2.
A relaxed structure of YCd6In2, computed with GGA-PBE.

Results
- Space-group type: C2/m (12)
- Formation energy: -0.10 eV per atom
- Size of the total moment: 0.00 μB/cell
- Fermi-level density of states: 0.455 states/eV/atom

Unit cell a=8.2779 b=8.2779 c=4.2538 alpha=97.53 beta=97.53 gamma=127.25
Last column: nearest neighbours and their distance in Å.
Atoms (fractional coordinates):
Y: 0.0000 0.0000 0.0000  8 Cd 3.24-3.31, 4 In 3.27
Cd: 0.1733 0.4905 0.1711  3 In 3.02-3.16, 6 Cd 3.14-3.26, 1 Y 3.31
Cd: 0.3473 0.3473 0.6770  8 Cd 2.99-3.26, 2 Y 3.24
Cd: 0.4905 0.1733 0.1711  3 In 3.02-3.16, 6 Cd 3.14-3.26, 1 Y 3.31
Cd: 0.5095 0.8267 0.8289  3 In 3.02-3.16, 6 Cd 3.14-3.26, 1 Y 3.31
Cd: 0.6527 0.6527 0.3230  8 Cd 2.99-3.26, 2 Y 3.24
Cd: 0.8267 0.5095 0.8289  3 In 3.02-3.16, 6 Cd 3.14-3.26, 1 Y 3.31
In: 0.1675 0.8325 0.5000  6 Cd 3.02-3.16, 2 Y 3.27
In: 0.8325 0.1675 0.5000  6 Cd 3.02-3.16, 2 Y 3.27

3.
A relaxed structure of BaHg2Pb, computed with GGA-PBE.

Results
- Space-group type: P4mm (99)
- Formation energy: -0.28 eV per atom
- Size of the total moment: 0.00 μB/cell
- Fermi-level density of states: 0.472 states/eV/atom

Unit cell a=4.0393 b=4.0393 c=7.8988 alpha=90.00 beta=90.00 gamma=90.00
Last column: nearest neighbours and their distance in Å.
Atoms (fractional coordinates):
Ba: 0.0000 0.0000 0.0000  5 Hg 3.58-3.76, 4 Pb 3.80
Hg: 0.0000 0.0000 0.4766  4 Hg 3.28, 4 Pb 3.29
Hg: 0.5000 0.5000 0.2732  1 Pb 3.24, 4 Hg 3.28, 4 Ba 3.58
Pb: 0.5000 0.5000 0.6833  5 Hg 3.24-3.29

4.
A relaxed structure of La3CSe, computed with GGA-PBE.

Results
- Space-group type: C2/c (15)
- Uncorrected formation energy: -72 kJ/mol of atoms
- Size of the total moment: 1.55 μB/cell
- Fermi-level density of states: 0.769 states/eV/atom

Unit cell a=9.1620 b=9.1620 c=6.4099 alpha=93.44 beta=93.44 gamma=97.04
Last column: nearest neighbours and their distance in Å.
Atoms (fractional coordinates):
La: 0.0404 0.7620 0.9294  1 C 2.57
La: 0.1819 0.5690 0.4077  2 C 2.57-2.58
La: 0.2380 0.9596 0.5706  1 C 2.57
La: 0.3043 0.4495 0.8955  3 C 2.61-2.75
La: 0.4310 0.8181 0.0923  2 C 2.57-2.58
La: 0.4495 0.3043 0.3955  3 C 2.61-2.75
La: 0.5505 0.6957 0.6045  3 C 2.61-2.75
La: 0.5690 0.1819 0.9077  2 C 2.57-2.58
La: 0.6957 0.5505 0.1045  3 C 2.61-2.75
La: 0.7620 0.0404 0.4294  1 C 2.57
La: 0.8181 0.4310 0.5923  2 C 2.57-2.58
La: 0.9596 0.2380 0.0706  1 C 2.57
C: 0.2776 0.7224 0.7500  6 La 2.57-2.75
C: 0.4333 0.5667 0.2500  6 La 2.57-2.65
C: 0.5667 0.4333 0.7500  6 La 2.57-2.65
C: 0.7224 0.2776 0.2500  6 La 2.57-2.75
Se: 0.0769 0.2439 0.5480  6 La 3.11-3.29
Se: 0.2439 0.0769 0.0480  6 La 3.11-3.29
Se: 0.7561 0.9231 0.9520  6 La 3.11-3.29
Se: 0.9231 0.7561 0.4520  6 La 3.11-3.29

5.
A relaxed structure of TiHgIO2, computed with GGA-PBE.

Results
- Space-group type: P4/mmm (123)
- Uncorrected formation energy: 50 kJ/mol of atoms
- Size of the total moment: 0.07 μB/cell
- Fermi-level density of states: 1.219 states/eV/atom

Unit cell a=4.2479 b=4.2479 c=5.8811 alpha=90.00 beta=90.00 gamma=90.00
Last column: nearest neighbours and their distance in Å.
Atoms (fractional coordinates):
Ti: 0.0000 0.0000 0.0000  4 I 3.00
Hg: 0.5000 0.5000 0.5000  4 O 2.12
I: 0.5000 0.5000 0.0000  2 Hg 2.94, 4 Ti 3.00
O: 0.0000 0.5000 0.5000  2 Hg 2.12
O: 0.5000 0.0000 0.5000  2 Hg 2.12

6.
A relaxed structure of LaTbPu2Se4, computed with GGA-PBE.

Results
- Space-group type: P2/m (10)
- Uncorrected formation energy: -165 kJ/mol of atoms
- Size of the total moment: 11.72 μB/cell
- Fermi-level density of states: 2.253 states/eV/atom

Unit cell a=7.2239 b=4.1632 c=7.2630 alpha=90.00 beta=109.27 gamma=90.00
Last column: nearest neighbours and their distance in Å.
Atoms (fractional coordinates):
La: 0.0000 0.0000 0.0000  6 Se 3.00-3.01
Tb: 0.5000 0.5000 0.0000  6 Se 2.94
Pu: 0.0000 0.5000 0.5000  6 Se 2.97
Pu: 0.5000 0.0000 0.5000  6 Se 2.90
Se: 0.2572 0.0000 0.7488  3 Pu 2.90-2.97, 2 Tb 2.94, 1 La 3.00
Se: 0.2601 0.5000 0.2570  3 Pu 2.90-2.97, 1 Tb 2.94, 2 La 3.01
Se: 0.7399 0.5000 0.7430  3 Pu 2.90-2.97, 1 Tb 2.94, 2 La 3.01
Se: 0.7428 0.0000 0.2512  3 Pu 2.90-2.97, 2 Tb 2.94, 1 La 3.00

7.
A relaxed structure of SiTePb3, computed with GGA-PBE.

Results
- Space-group type: Pm-3m (221)
- Uncorrected formation energy: 35 kJ/mol of atoms
- Size of the total moment: 0.00 μB/cell
- Fermi-level density of states: 0.659 states/eV/atom

Unit cell a=5.5169 b=5.5169 c=5.5169 alpha=90.00 beta=90.00 gamma=90.00
Last column: nearest neighbours and their distance in Å.
Atoms (fractional coordinates):
Si: 0.0000 0.0000 0.0000  6 Pb 2.76
Te: 0.5000 0.5000 0.5000  12 Pb 3.90
Pb: 0.0000 0.0000 0.5000  2 Si 2.76
Pb: 0.0000 0.5000 0.0000  2 Si 2.76
Pb: 0.5000 0.0000 0.0000  2 Si 2.76

8.
A relaxed structure of Dy3ScSb3, computed with GGA-PBE.

Results
- Space-group type: R-3 (148)
- Uncorrected formation energy: -84 kJ/mol of atoms
- Size of the total moment: 0.00 μB/cell
- Fermi-level density of states: 0.766 states/eV/atom

Unit cell a=7.9424 b=7.9424 c=7.9424 alpha=67.30 beta=67.30 gamma=67.30
Last column: nearest neighbours and their distance in Å.
Atoms (fractional coordinates):
Dy: 0.0884 0.3419 0.8233  5 Sb 3.04-3.23
Dy: 0.1767 0.9116 0.6581  5 Sb 3.04-3.23
Dy: 0.3419 0.8233 0.0884  5 Sb 3.04-3.23
Dy: 0.6581 0.1767 0.9116  5 Sb 3.04-3.23
Dy: 0.8233 0.0884 0.3419  5 Sb 3.04-3.23
Dy: 0.9116 0.6581 0.1767  5 Sb 3.04-3.23
Sc: 0.3333 0.3333 0.3333  6 Sb 3.05-3.12
Sc: 0.6667 0.6667 0.6667  6 Sb 3.05-3.12
Sb: 0.0749 0.6906 0.4748  5 Dy 3.04-3.23, 2 Sc 3.05-3.12
Sb: 0.3094 0.5252 0.9251  5 Dy 3.04-3.23, 2 Sc 3.05-3.12
Sb: 0.4748 0.0749 0.6906  5 Dy 3.04-3.23, 2 Sc 3.05-3.12
Sb: 0.5252 0.9251 0.3094  5 Dy 3.04-3.23, 2 Sc 3.05-3.12
Sb: 0.6906 0.4748 0.0749  5 Dy 3.04-3.23, 2 Sc 3.05-3.12
Sb: 0.9251 0.3094 0.5252  5 Dy 3.04-3.23, 2 Sc 3.05-3.12

9.
A relaxed structure of SrSnHg2H, computed with GGA-PBE.

Results
- Space-group type: P4/mmm (123)
- Size of the total moment: 0.00 μB/cell
- Total DFT energy (no corrections): -0.0775 hartree per atom
- Fermi-level density of states: 0.413 states/eV/atom

Unit cell a=5.1224 b=5.1224 c=4.5087 alpha=90.00 beta=90.00 gamma=90.00
Last column: nearest neighbours and their distance in Å.
Atoms (fractional coordinates):
Sr: 0.0000 0.0000 0.0000  2 H 2.25
Sn: 0.5000 0.5000 0.0000  8 Hg 3.41, 4 Sr 3.62
Hg: 0.0000 0.5000 0.5000  2 H 2.56
Hg: 0.5000 0.0000 0.5000  2 H 2.56
H: 0.0000 0.0000 0.5000  2 Sr 2.25

10.
A relaxed structure of YZr4O10, computed with GGA-PBE.

Results
- Space-group type: I4/m (87)
- Uncorrected formation energy: -306 kJ/mol of atoms
- Size of the total moment: 0.00 μB/cell
- Fermi-level density of states: 0.440 states/eV/atom

Unit cell a=6.3783 b=6.3783 c=6.3783 alpha=99.55 beta=99.55 gamma=131.92
Last column: nearest neighbours and their distance in Å.
Atoms (fractional coordinates):
Y: 0.0000 0.0000 0.0000  8 O 2.33
Zr: 0.1995 0.3979 0.5974  8 O 2.22-2.26
Zr: 0.3979 0.8005 0.1984  8 O 2.22-2.26
Zr: 0.6021 0.1995 0.8016  8 O 2.22-2.26
Zr: 0.8005 0.6021 0.4026  8 O 2.22-2.26
O: 0.0504 0.3596 0.8939  3 Zr 2.22-2.24, 1 Y 2.33
O: 0.1566 0.0504 0.6908  3 Zr 2.22-2.24, 1 Y 2.33
O: 0.2500 0.7500 0.5000  4 Zr 2.26
O: 0.3596 0.4657 0.3092  3 Zr 2.22-2.24, 1 Y 2.33
O: 0.4657 0.1566 0.1061  3 Zr 2.22-2.24, 1 Y 2.33
O: 0.5343 0.8434 0.8939  3 Zr 2.22-2.24, 1 Y 2.33
O: 0.6404 0.5343 0.6908  3 Zr 2.22-2.24, 1 Y 2.33
O: 0.7500 0.2500 0.5000  4 Zr 2.26
O: 0.8434 0.9496 0.3092  3 Zr 2.22-2.24, 1 Y 2.33
O: 0.9496 0.6404 0.1061  3 Zr 2.22-2.24, 1 Y 2.33